! Ni2SeBr GGA-PBE relaxed; values from VASP
&SYSTEM
  ibrav = 0, nat = 4, ntyp = 3
/
ATOMIC_SPECIES
Ni 58.69 Ni.upf
Se 78.96 Se.upf
Br 79.90 Br.upf
CELL_PARAMETERS angstrom
3.193 0.000 0.000
0.000 3.193 0.000
0.000 0.000 6.448
ATOMIC_POSITIONS angstrom
Ni 0.000 0.000 1.257
Ni 0.000 0.000 5.191
Se 1.597 1.597 0.000
Br 1.597 1.597 3.224
! - total magnetization (μB/f.u.) = 0.00
! - ΔE to the lowest computed polymorph (meV/atom) = 434.7
! - E_form (uncorrected) (eV/atom) = 0.294

! Be4FeP GGA-PBE relaxed; values from VASP
&SYSTEM
  ibrav = 0, nat = 6, ntyp = 3
/
ATOMIC_SPECIES
Be 9.01 Be.upf
Fe 55.84 Fe.upf
P 30.97 P.upf
CELL_PARAMETERS angstrom
0.000 2.956 2.956
2.956 0.000 2.956
2.956 2.956 0.000
ATOMIC_POSITIONS angstrom
Be 0.732 0.732 0.732
Be 2.224 2.224 0.732
Be 2.224 0.732 2.224
Be 0.732 2.224 2.224
Fe 4.435 4.435 4.435
P 2.956 2.956 2.956
! - final energy (eV per atom) = -4.86
! - total magnetization (μB/f.u.) = 0.23

! KZnIr GGA-PBE relaxed; values from VASP
&SYSTEM
  ibrav = 0, nat = 3, ntyp = 3
/
ATOMIC_SPECIES
K 39.10 K.upf
Zn 65.41 Zn.upf
Ir 192.22 Ir.upf
CELL_PARAMETERS angstrom
2.903 0.000 0.000
-1.451 2.514 0.000
0.000 0.000 7.795
ATOMIC_POSITIONS angstrom
K 0.000 0.000 0.000
Zn 1.451 0.838 3.038
Ir 0.000 1.676 5.077
! - total magnetization (μB/f.u.) = 0.00
! - ΔE to the lowest computed polymorph (meV/atom) = 310.1

! SrCr2Re GGA-PBE relaxed; values from VASP
&SYSTEM
  ibrav = 0, nat = 4, ntyp = 3
/
ATOMIC_SPECIES
Sr 87.62 Sr.upf
Cr 52.00 Cr.upf
Re 186.21 Re.upf
CELL_PARAMETERS angstrom
-1.630 2.735 4.750
1.630 -2.735 4.750
1.630 2.735 -4.750
ATOMIC_POSITIONS angstrom
Sr 0.000 0.000 0.000
Cr 1.630 0.000 2.904
Cr 0.000 2.735 1.845
Re 0.000 0.000 4.750
! - total magnetization (μB/f.u.) = 5.37
! - ΔE to the lowest computed polymorph (meV/atom) = 355.6

! K3Ba GGA-PBE relaxed; values from VASP
&SYSTEM
  ibrav = 0, nat = 8, ntyp = 2
/
ATOMIC_SPECIES
K 39.10 K.upf
Ba 137.33 Ba.upf
CELL_PARAMETERS angstrom
6.490 -6.679 0.000
6.490 6.679 0.000
0.000 0.000 6.520
ATOMIC_POSITIONS angstrom
K 3.196 1.664 4.890
K 6.490 4.899 4.890
K 3.196 -1.664 1.630
K 9.785 1.664 4.890
K 6.490 -4.899 1.630
K 9.785 -1.664 1.630
Ba 6.490 1.552 1.630
Ba 6.490 -1.552 4.890
! - final energy (eV per atom) = -1.22
! - total magnetization (μB/f.u.) = 0.00

! Pr2SiAu GGA-PBE relaxed; values from VASP
&SYSTEM
  ibrav = 0, nat = 4, ntyp = 3
/
ATOMIC_SPECIES
Pr 140.91 Pr.upf
Si 28.09 Si.upf
Au 196.97 Au.upf
CELL_PARAMETERS angstrom
3.642 0.000 0.000
0.000 3.642 0.000
0.000 0.000 7.645
ATOMIC_POSITIONS angstrom
Pr 0.000 0.000 1.855
Pr 0.000 0.000 5.790
Si 1.821 1.821 0.000
Au 1.821 1.821 3.823
! - total magnetization (μB/f.u.) = 0.00
! - E_form (uncorrected) (eV/atom) = -0.600

! NpHO GGA-PBE relaxed; values from VASP
&SYSTEM
  ibrav = 0, nat = 3, ntyp = 3
/
ATOMIC_SPECIES
Np 237.00 Np.upf
H 1.01 H.upf
O 16.00 O.upf
CELL_PARAMETERS angstrom
0.000 2.680 2.680
2.680 0.000 2.680
2.680 2.680 0.000
ATOMIC_POSITIONS angstrom
Np 0.000 0.000 0.000
H 4.020 4.020 4.020
O 1.340 1.340 1.340
! - total magnetization (μB/f.u.) = 4.00
! - ΔE to the lowest computed polymorph (meV/atom) = 0.0

! Y4GaNi GGA-PBE relaxed; values from VASP
&SYSTEM
  ibrav = 0, nat = 12, ntyp = 3
/
ATOMIC_SPECIES
Y 88.91 Y.upf
Ga 69.72 Ga.upf
Ni 58.69 Ni.upf
CELL_PARAMETERS angstrom
4.428 -6.715 0.000
4.428 6.715 0.000
-3.130 0.000 5.263
ATOMIC_POSITIONS angstrom
Y 0.503 4.261 4.787
Y 0.351 0.862 3.660
Y 3.658 4.261 3.108
Y 1.916 -0.862 1.029
Y 3.809 0.862 4.235
Y 2.068 -4.261 2.155
Y 5.374 -0.862 1.603
Y 5.222 -4.261 0.477
Ga 3.645 1.750 1.316
Ga 2.080 -1.750 3.947
Ni 3.645 6.705 1.316
Ni 2.080 -6.705 3.947
! - total magnetization (μB/f.u.) = 0.00
! - ΔE to the lowest computed polymorph (meV/atom) = 4.3